No. 1
VASP calculation (GGA-PBE) on crystalline RbAc2US6 at its relaxed geometry.

Cell lengths 7.4980, 7.4981, 7.8982 Å; angles 61.66, 61.66, 60.00 degrees
Last column: magnetic moment on the atom in μB.
Element x y z (fractional)
Rb 0.7922 0.7922 0.6235  0.00
Ac 0.5270 0.5270 0.4190  0.00
Ac 0.0072 0.0072 0.9784  0.00
U 0.3265 0.3265 0.0205  1.23
S 0.5702 0.2398 0.2289  -0.03
S 0.2398 0.9611 0.2289  -0.03
S 0.9611 0.5702 0.2289  -0.03
S 0.3623 0.7002 0.7624  -0.03
S 0.7002 0.1751 0.7624  -0.03
S 0.1751 0.3623 0.7624  -0.03

Calculated values
space-group type	R3
uncorrected formation energy	-1.718	eV/atom
ρ	5.007	g cm⁻³

No. 2
VASP calculation (GGA-PBE) on crystalline LaMoN3 at its relaxed geometry.

Cell lengths 3.7316, 7.4834, 5.4845 Å; angles 96.81, 87.38, 92.28 degrees
Element x y z (fractional)
Mo 0.6192 0.7776 0.4021
Mo 0.9440 0.0168 0.6954
N 0.8847 0.0223 0.3411
N 0.7101 0.3991 0.8822
N 0.2947 0.5197 0.3599
N 0.0880 0.6592 0.3537
N 0.8989 0.2577 0.8339
N 0.4097 0.9218 0.7592
La 0.4096 0.1905 0.1857
La 0.2433 0.6027 0.8675

Calculated values
space-group type	P1
uncorrected formation energy	-0.476	eV/atom
ρ	6.056	g cm⁻³

No. 3
VASP calculation (GGA-PBE) on crystalline Rb2LiIO4 at its relaxed geometry.

Cell lengths 6.0678, 6.4209, 6.0696 Å; angles 126.67, 124.88, 82.17 degrees
Element x y z (fractional)
Rb 0.5066 0.0067 0.0133
Rb 0.2740 0.2739 0.5479
Li 0.9733 0.4733 0.9466
I 0.7772 0.7773 0.5545
O 0.6833 0.5405 0.6153
O 0.8435 0.5077 0.2407
O 0.3973 0.7330 0.2408
O 0.9319 0.0747 0.6150

Calculated values
space-group type	C2
uncorrected formation energy	-1.176	eV/atom
ρ	4.143	g cm⁻³